The following is a PBE calculation of a relaxed TaTi2InSe crystal, from Alexandria via LeMat-Bulk.

Lattice parameters (Å, degrees): 4.9904 4.9904 4.9701 90.00 90.00 90.00
With the nearest neighbours (Å) after each atom.
Space group P4/mmm (No. 123)
Symmetry-distinct sites (fractional):
Ta (0.0000, 0.0000, 0.0000) [1 per cell]  8 Ti 3.52, 4 Se 3.53
Ti (0.0000, 0.5000, 0.5000) [2 per cell]  2 In 2.50
In (0.5000, 0.5000, 0.5000) [1 per cell]  2 Se 2.49, 4 Ti 2.50
Se (0.5000, 0.5000, 0.0000) [1 per cell]  2 In 2.49

Computed properties:
The value obtained for the uncorrected formation energy is 8.206 eV per formula unit. Its total energy is -5.13 eV per atom.